No. 1
Material: CaMg6AlO8
Method: DFT, PBE
State: relaxed

Calculated values
uncorrected formation energy: -2.493 eV per atom
energy above the most stable polymorph in this dataset: 14 meV per atom
crystal system: tetragonal
SG: P4/mmm

a = 4.4056 Å, b = 4.4056 Å, c = 8.7035 Å
α = 90.00°, β = 90.00°, γ = 90.00°
Last column: nearest neighbours and their distance in Å.
Sites, in units of the cell vectors:
1 Ca 0.5000 0.5000 0.0000  6 O 2.20-2.31
2 Mg 0.0000 0.0000 0.5000  6 O 2.19-2.20
3 Mg 0.5000 0.5000 0.5000  6 O 2.05-2.20
4 Mg 0.0000 0.5000 0.2585  6 O 2.10-2.25
5 Mg 0.0000 0.5000 0.7415  6 O 2.10-2.25
6 Mg 0.5000 0.0000 0.2585  6 O 2.10-2.25
7 Mg 0.5000 0.0000 0.7415  6 O 2.10-2.25
8 Al 0.0000 0.0000 0.0000  6 O 2.17-2.20
9 O 0.0000 0.0000 0.2489  1 Al 2.17, 5 Mg 2.19-2.20
10 O 0.0000 0.0000 0.7511  1 Al 2.17, 5 Mg 2.19-2.20
11 O 0.5000 0.5000 0.2649  5 Mg 2.05-2.20
12 O 0.5000 0.5000 0.7351  5 Mg 2.05-2.20
13 O 0.0000 0.5000 0.0000  2 Ca 2.20, 2 Al 2.20, 2 Mg 2.25
14 O 0.0000 0.5000 0.5000  6 Mg 2.10-2.20
15 O 0.5000 0.0000 0.0000  2 Ca 2.20, 2 Al 2.20, 2 Mg 2.25
16 O 0.5000 0.0000 0.5000  6 Mg 2.10-2.20

***

No. 2
Material: Al2AgRh
Method: DFT, PBE
State: relaxed

Calculated values
energy of formation from the pure elements: -48 kJ per mole of atoms
energy above the most stable polymorph in this dataset: 50 meV per atom
crystal system: cubic
SG: Fm-3m

a = 4.3802 Å, b = 4.3802 Å, c = 4.3802 Å
α = 60.00°, β = 60.00°, γ = 60.00°
Last column: nearest neighbours and their distance in Å.
Sites, in units of the cell vectors:
1 Rh 0.0000 0.0000 0.0000  8 Al 2.68
2 Al 0.2500 0.2500 0.2500  4 Rh 2.68, 4 Ag 2.68
3 Al 0.7500 0.7500 0.7500  4 Rh 2.68, 4 Ag 2.68
4 Ag 0.5000 0.5000 0.5000  8 Al 2.68

***

No. 3
Material: PrNdPaO6
Method: DFT, PBE
State: relaxed

Calculated values
uncorrected formation energy: -3.070 eV per atom
crystal system: trigonal
SG: P312

a = 4.6948 Å, b = 6.0365 Å, c = 6.0365 Å
α = 120.00°, β = 90.00°, γ = 90.00°
Last column: nearest neighbours and their distance in Å.
Sites, in units of the cell vectors:
1 Pr 0.5000 0.6667 0.3333  6 O 2.41
2 Nd 0.5000 0.0000 0.0000  6 O 2.39
3 Pa 0.0000 0.3333 0.6667  6 O 2.20
4 O 0.7504 0.6427 0.6690  1 Pa 2.20, 1 Nd 2.39, 1 Pr 2.41
5 O 0.7504 0.3310 0.9737  1 Pa 2.20, 1 Nd 2.39, 1 Pr 2.41
6 O 0.7504 0.0263 0.3573  1 Pa 2.20, 1 Nd 2.39, 1 Pr 2.41
7 O 0.2496 0.3310 0.3573  1 Pa 2.20, 1 Nd 2.39, 1 Pr 2.41
8 O 0.2496 0.6427 0.9737  1 Pa 2.20, 1 Nd 2.39, 1 Pr 2.41
9 O 0.2496 0.0263 0.6690  1 Pa 2.20, 1 Nd 2.39, 1 Pr 2.41

***

In order of appearance, density = 3.4, 7.4, 6.9 g cm⁻³.
In order of appearance, final energy = -5.929, -4.917, -8.491 eV per atom.